[1]
{"formula": "CaZnGa2Pd2", "functional": "PBE", "state": "relaxed", "crystal_system": "tetragonal", "sg": "P4/mmm, No. 123", "dft_energy_ev_per_cell": -20.7, "lattice_angstrom": [[4.631, 0.000, 0.000], [0.000, 4.631, 0.000], [0.000, 0.000, 5.662]], "species": ["Ca", "Zn", "Ga", "Ga", "Pd", "Pd"], "frac_coords": [[0.000, 0.000, 0.000], [0.000, 0.000, 0.500], [0.000, 0.500, 0.500], [0.500, 0.000, 0.500], [0.500, 0.500, 0.248], [0.500, 0.500, 0.752]]}

=====

[2]
{"formula": "Ca2Zn3Ga4Pd", "functional": "PBE", "state": "relaxed", "crystal_system": "tetragonal", "sg": "P-4m2, No. 115", "dft_energy_ev_per_cell": -29.3, "lattice_angstrom": [[4.297, 0.000, 0.000], [0.000, 4.297, 0.000], [0.000, 0.000, 10.607]], "species": ["Ca", "Ca", "Zn", "Zn", "Zn", "Ga", "Ga", "Ga", "Ga", "Pd"], "frac_coords": [[0.000, 0.500, 0.244], [0.500, 0.000, 0.756], [0.000, 0.000, 0.000], [0.000, 0.500, 0.638], [0.500, 0.000, 0.362], [0.000, 0.000, 0.500], [0.000, 0.500, 0.872], [0.500, 0.000, 0.128], [0.500, 0.500, 0.500], [0.500, 0.500, 0.000]]}

=====

[3]
{"formula": "CaZnGaPd", "functional": "PBE", "state": "relaxed", "crystal_system": "cubic", "sg": "F-43m, No. 216", "relative_energy_ev_per_atom": 0.1120, "lattice_angstrom": [[6.638, 0.000, 0.000], [0.000, 6.638, 0.000], [0.000, 0.000, 6.638]], "species": ["Ca", "Ca", "Ca", "Ca", "Zn", "Zn", "Zn", "Zn", "Ga", "Ga", "Ga", "Ga", "Pd", "Pd", "Pd", "Pd"], "frac_coords": [[0.000, 0.000, 0.000], [0.000, 0.500, 0.500], [0.500, 0.000, 0.500], [0.500, 0.500, 0.000], [0.250, 0.250, 0.750], [0.250, 0.750, 0.250], [0.750, 0.250, 0.250], [0.750, 0.750, 0.750], [0.250, 0.250, 0.250], [0.250, 0.750, 0.750], [0.750, 0.250, 0.750], [0.750, 0.750, 0.250], [0.000, 0.000, 0.500], [0.000, 0.500, 0.000], [0.500, 0.000, 0.000], [0.500, 0.500, 0.500]]}